Entry from Alexandria via LeMat-Bulk: NaBi2Pt2 after structural relaxation (PBEsol).

- Energy of formation from the pure elements: -192 meV/atom
- E above lowest polymorph: 0.000 eV per atom

Structure (POSCAR):
```
NaBi2Pt2
1.0
7.7860 0.0000 0.0000
0.0000 7.7860 0.0000
0.0000 0.0000 3.6012
Na Bi Pt
2 4 4
Direct
0.0000 0.0000 0.0000
0.5000 0.5000 0.0000
0.1656 0.3344 0.5000
0.3344 0.8344 0.5000
0.6656 0.1656 0.5000
0.8344 0.6656 0.5000
0.1299 0.6299 0.0000
0.3701 0.1299 0.0000
0.6299 0.8701 0.0000
0.8701 0.3701 0.0000
```